The following is a DFT calculation (meta-GGA SCAN) of a crystal of ReSiW2 relaxed with PBEsol.

The value obtained for the uncorrected formation energy is 150.2 meV/atom.

The space group is Cmm2 (No. 35) and the conventional cell measures 3.156, 4.494 and 8.276 Å, with angles of 90.00, 90.00 and 90.00 degrees. Symmetry generates all atoms from Re at (0.000, 0.000, 0.000), Si at (0.000, 0.500, 0.232), W at (0.000, 0.000, 0.472) and W at (0.000, 0.500, 0.739).



The following is a DFT calculation (meta-GGA SCAN) of a crystal of CaCoOs2 relaxed with PBEsol.

The value obtained for the formation energy is 770 meV per atom. As for the offset from the most stable computed form: 1.52 eV/f.u.

The space group is P4/mmm (No. 123) and the conventional cell measures 3.717, 3.717 and 4.358 Å, with angles of 90.00, 90.00 and 90.00 degrees. Symmetry generates all atoms from Ca at (0.000, 0.000, 0.000), Co at (0.500, 0.500, 0.000) and Os at (0.000, 0.500, 0.500).



The following is a DFT calculation (meta-GGA SCAN) of a crystal of Rb2Sc2Cu relaxed with PBEsol.

The value obtained for the formation energy is 1130 meV per atom.

The space group is I4/mmm (No. 139) and the conventional cell measures 4.051, 4.051 and 18.568 Å, with angles of 90.00, 90.00 and 90.00 degrees. Symmetry generates all atoms from Rb at (0.000, 0.500, 0.250), Sc at (0.000, 0.000, 0.070) and Cu at (0.000, 0.000, 0.500).



The following is a DFT calculation (meta-GGA SCAN) of a crystal of CuSiPt relaxed with PBEsol.

The value obtained for the uncorrected formation energy is -42.1 meV/atom.

The space group is F-43m (No. 216) and the conventional cell measures 5.619, 5.619 and 5.619 Å, with angles of 90.00, 90.00 and 90.00 degrees. Symmetry generates all atoms from Cu at (0.000, 0.000, 0.000), Si at (0.250, 0.250, 0.250) and Pt at (0.250, 0.250, 0.750).



The following is a DFT calculation (meta-GGA SCAN) of a crystal of K3B6ClO10 relaxed with PBEsol.

The value obtained for the uncorrected formation energy is -2591.0 meV/atom.

The space group is R3m (No. 160, hexagonal axes) and the conventional cell measures 10.0862, 10.0862 and 8.8788 Å, with angles of 90.00, 90.00 and 120.00 degrees. Symmetry generates all atoms from K at (0.0255, 0.5128, 0.0000), B at (0.0316, 0.5158, 0.5536), B at (0.1745, 0.0872, 0.0018), Cl at (0.0000, 0.0000, 0.5365), O at (0.0000, 0.0000, 0.9923), O at (0.0992, 0.4314, 0.5899) and O at (0.2201, 0.1101, 0.1590).



The following is a DFT calculation (meta-GGA SCAN) of a crystal of ZrTlPb relaxed with PBEsol.

The value obtained for the formation energy is 99 meV per atom.

The space group is P3m1 (No. 156) and the conventional cell measures 5.1657, 5.1657 and 3.1669 Å, with angles of 90.00, 90.00 and 120.00 degrees. Symmetry generates all atoms from Zr at (0.0000, 0.0000, 0.0000), Tl at (0.6667, 0.3333, 0.6729) and Pb at (0.3333, 0.6667, 0.3738).



The following is a DFT calculation (meta-GGA SCAN) of a crystal of RbTl3Cd relaxed with PBEsol.

The value obtained for the formation energy is 860 meV per atom.

The space group is Pm-3m (No. 221) and the conventional cell measures 6.192, 6.192 and 6.192 Å, with angles of 90.00, 90.00 and 90.00 degrees. Symmetry generates all atoms from Rb at (0.000, 0.000, 0.000), Tl at (0.000, 0.000, 0.500) and Cd at (0.500, 0.500, 0.500).



The following is a DFT calculation (meta-GGA SCAN) of a crystal of NdTm3 relaxed with PBEsol.

The value obtained for the formation energy is 31 meV per atom. As for the offset from the most stable computed form: 0.07 eV/f.u.

The space group is Pm-3m (No. 221) and the conventional cell measures 4.899, 4.899 and 4.899 Å, with angles of 90.00, 90.00 and 90.00 degrees. Symmetry generates all atoms from Nd at (0.000, 0.000, 0.000) and Tm at (0.000, 0.500, 0.500).



Magnetic moment per entry: 0.000; 0.310; 0.285; 0.000; 0.007; 0.000; 0.001; 0.009 μB/atom
N(E_F) per entry: 0.7038; 0.9012; 1.0880; 0.4493; 0.0000; 0.9201; 1.5468; 1.2883 states/eV/atom